An optimized crystal structure of ZrTcPt2, computed with PBE-GGA.

Space-group type ... Cm, No. 8
Total DFT energy (no corrections) ... -8.2177 eV/atom
D(E_F) ... 3.29 states/eV/cell
Spin magnetization ... 0.00 Bohr magnetons per cell
V ... 16.693 Å³/atom
Calculated formation energy ... -0.4688 eV/atom

Cell lengths 4.923, 4.923, 5.050 Å; angles 80.99, 80.99, 33.57 degrees
Element x y z (fractional)
Pt 0.000 0.000 0.000
Pt 0.755 0.755 0.724
Tc 0.496 0.496 0.540
Zr 0.249 0.249 0.236

***

An optimized crystal structure of ZrTc2Pt, computed with PBE-GGA.

Space-group type ... Pm, No. 6
Total DFT energy (no corrections) ... -9.1042 eV/atom
D(E_F) ... 3.38 states/eV/cell
Spin magnetization ... 0.00 Bohr magnetons per cell
V ... 16.598 Å³/atom
Calculated formation energy ... -0.2739 eV/atom

Cell lengths 4.485, 2.854, 5.280 Å; angles 79.29, 90.00, 90.00 degrees
Element x y z (fractional)
Pt 0.500 0.908 0.732
Tc 0.000 0.901 0.049
Tc 0.500 0.224 0.189
Zr 0.000 0.467 0.529

***

An optimized crystal structure of ZrTcPt2, computed with PBE-GGA.

Space-group type ... R-3m, No. 166
Total DFT energy (no corrections) ... -7.9476 eV/atom
D(E_F) ... 5.58 states/eV/cell
Spin magnetization ... 0.01 Bohr magnetons per cell
V ... 16.558 Å³/atom
Calculated formation energy ... -0.1987 eV/atom

Cell lengths 9.576, 9.576, 9.576 Å; angles 17.10, 17.10, 17.10 degrees
Element x y z (fractional)
Pt 0.996 0.996 0.996
Pt 0.504 0.504 0.504
Tc 0.250 0.250 0.250
Zr 0.750 0.750 0.750

***

An optimized crystal structure of ZrTc2Pt2, computed with PBE-GGA.

Space-group type ... I4/mmm, No. 139
Total DFT energy (no corrections) ... -8.4235 eV/atom
D(E_F) ... 2.45 states/eV/cell
Spin magnetization ... 0.00 Bohr magnetons per cell
V ... 17.851 Å³/atom
Calculated formation energy ... -0.1512 eV/atom

Cell lengths 3.944, 3.944, 6.379 Å; angles 71.99, 71.99, 90.00 degrees
Element x y z (fractional)
Zr 0.000 0.000 0.000
Tc 0.404 0.404 0.192
Tc 0.596 0.596 0.808
Pt 0.750 0.250 0.500
Pt 0.250 0.750 0.500

***

An optimized crystal structure of ZrTcPt2, computed with PBE-GGA.

Space-group type ... I-42d, No. 122
Total DFT energy (no corrections) ... -7.8451 eV/atom
D(E_F) ... 10.69 states/eV/cell
Spin magnetization ... 0.01 Bohr magnetons per cell
V ... 17.990 Å³/atom
Calculated formation energy ... -0.0961 eV/atom

Cell lengths 3.911, 3.911, 9.807 Å; angles 78.50, 78.50, 90.00 degrees
Element x y z (fractional)
Zr 0.500 0.500 0.000
Zr 0.250 0.750 0.500
Tc 0.000 0.000 0.000
Tc 0.750 0.250 0.500
Pt 0.635 0.125 0.250
Pt 0.115 0.625 0.250
Pt 0.375 0.365 0.750
Pt 0.875 0.885 0.750

***

An optimized crystal structure of Zr3Tc2Pt, computed with PBE-GGA.

Space-group type ... P4/mmm, No. 123
Total DFT energy (no corrections) ... -9.3849 eV/atom
D(E_F) ... 1.74 states/eV/cell
Spin magnetization ... 0.00 Bohr magnetons per cell
V ... 18.192 Å³/atom
Calculated formation energy ... -0.6487 eV/atom

Cell lengths 3.333, 3.333, 9.826 Å; angles 90.00, 90.00, 90.00 degrees
Element x y z (fractional)
Zr 0.000 0.000 0.000
Zr 0.000 0.000 0.674
Zr 0.000 0.000 0.326
Tc 0.500 0.500 0.829
Tc 0.500 0.500 0.171
Pt 0.500 0.500 0.500

***

Number 3 is which compound?
ZrTcPt2